Record 1
Entry from Alexandria via LeMat-Bulk: SrMg2Hg after structural relaxation (PBE-GGA).

Cell lengths 6.268, 6.268, 5.537 Å; angles 116.01, 116.01, 36.41 degrees
Element x y z (fractional)
1 Sr 0.000 0.000 0.000
2 Mg 0.214 0.214 0.715
3 Mg 0.786 0.786 0.285
4 Hg 0.500 0.500 0.500

Properties
Total energy ... -5.9 eV per cell
V ... 114.57 Å³/cell
Space-group type ... C2/m, No. 12
Energy of formation ... -3.98 kcal/mol of atoms


Record 2
Entry from Alexandria via LeMat-Bulk: Ac3As2Pt4 after structural relaxation (PBE-GGA).

Cell lengths 6.192, 6.192, 8.932 Å; angles 104.19, 104.19, 41.99 degrees
Element x y z (fractional)
1 Ac 0.000 0.000 0.000
2 Ac 0.337 0.337 0.332
3 Ac 0.663 0.663 0.668
4 As 0.389 0.389 0.718
5 As 0.611 0.611 0.282
6 Pt 0.056 0.056 0.384
7 Pt 0.282 0.282 0.933
8 Pt 0.718 0.718 0.067
9 Pt 0.944 0.944 0.616

Properties
Total energy ... -56.5 eV per cell
V ... 221.04 Å³/cell
Space-group type ... C2/m, No. 12
Energy of formation ... -27.41 kcal/mol of atoms


Record 3
Entry from Alexandria via LeMat-Bulk: TbLu2Hg after structural relaxation (PBE-GGA).

Cell lengths 4.763, 4.763, 4.721 Å; angles 90.00, 90.00, 90.00 degrees
Element x y z (fractional)
1 Tb 0.000 0.000 0.000
2 Lu 0.000 0.500 0.500
3 Lu 0.500 0.000 0.500
4 Hg 0.500 0.500 0.000

Properties
Total energy ... -14.6 eV per cell
V ... 107.12 Å³/cell
Space-group type ... P4/mmm, No. 123
Energy of formation ... -3.49 kcal/mol of atoms